# 1
YErAl6, relaxed, DFT PBE-GGA; ΔH_f (0 K) = -0.09 eV/atom; SG = Pm-3 (200)
1.0
5.495 0.000 0.000
0.000 5.495 0.000
0.000 0.000 5.495
Y Er Al
1 1 6
direct
0.000 0.000 0.000 Y
0.500 0.500 0.500 Er
0.000 0.250 0.500 Al
0.000 0.750 0.500 Al
0.250 0.500 0.000 Al
0.500 0.000 0.250 Al
0.500 0.000 0.750 Al
0.750 0.500 0.000 Al

***

# 2
CaTeRu3, relaxed, DFT PBE-GGA; SG = Pm-3m (221); formation energy (no corrections) = 0.8560 eV per atom
1.0
4.850 0.000 0.000
0.000 4.850 0.000
0.000 0.000 4.850
Ca Te Ru
1 1 3
direct
0.000 0.000 0.000 Ca
0.500 0.500 0.500 Te
0.000 0.500 0.500 Ru
0.500 0.000 0.500 Ru
0.500 0.500 0.000 Ru

***

In order of appearance, total magnetization = 0.0; 1.2 μB per formula unit.
In order of appearance, ΔE to the lowest computed polymorph = 2.724; 0.000 eV per formula unit.